1.
Pr2DyPd | PBE-GGA | relaxed

Calculated values
**Total moment**: 0.0 μB per cell
**Formation enthalpy at 0 K**: -0.93 eV per formula unit
**Raw total energy**: -5.071 eV/atom
**Energy above the most stable polymorph in this dataset**: 0.57 eV per formula unit

CIF file:
```
data_Pr2DyPd
_space_group_name_H-M_alt 'P 1'
_space_group_IT_number 1
_space_group_name_Hall 'P 1'
_cell_length_a 3.8115
_cell_length_b 3.8115
_cell_length_c 10.1134
_cell_angle_alpha 79.14
_cell_angle_beta 79.14
_cell_angle_gamma 60.00
loop_
_atom_site_label
_atom_site_fract_x
_atom_site_fract_y
_atom_site_fract_z
_atom_site_occupancy
Pd1 0.0000 0.0000 0.0000 1
Pr1 0.2666 0.2666 0.2001 1
Pr2 0.7334 0.7334 0.7999 1
Dy1 0.5000 0.5000 0.5000 1
```

***

2.
Nb8Mo2W | PBE-GGA | relaxed

Calculated values
**Total moment**: 0.0 μB per cell
**Formation enthalpy at 0 K**: 4.40 eV per formula unit
**Raw total energy**: -10.070 eV/atom

CIF file:
```
data_Nb8Mo2W
_space_group_name_H-M_alt 'P 1'
_space_group_IT_number 1
_space_group_name_Hall 'P 1'
_cell_length_a 4.8900
_cell_length_b 7.5124
_cell_length_c 7.2680
_cell_angle_alpha 58.88
_cell_angle_beta 76.95
_cell_angle_gamma 64.08
loop_
_atom_site_label
_atom_site_fract_x
_atom_site_fract_y
_atom_site_fract_z
_atom_site_occupancy
Nb1 0.1041 0.9140 0.7630 1
Mo1 0.0000 0.6817 0.6367 1
Nb2 0.8959 0.3229 0.7630 1
Nb3 0.5000 0.7866 0.4268 1
Nb4 0.8959 0.0860 0.2370 1
Nb5 0.1041 0.6771 0.2370 1
Nb6 0.6641 0.6229 0.0000 1
W1 0.5000 0.0000 0.0000 1
Nb7 0.3359 0.3771 0.0000 1
Nb8 0.5000 0.2134 0.5732 1
Mo2 0.0000 0.3183 0.3633 1
```

***

3.
TbTm2Cd | PBE-GGA | relaxed

Calculated values
**Total moment**: 0.0 μB per cell
**Formation enthalpy at 0 K**: -0.30 eV per formula unit
**Raw total energy**: -3.696 eV/atom
**Energy above the most stable polymorph in this dataset**: 0.29 eV per formula unit

CIF file:
```
data_TbTm2Cd
_space_group_name_H-M_alt 'P 1'
_space_group_IT_number 1
_space_group_name_Hall 'P 1'
_cell_length_a 3.5330
_cell_length_b 3.5330
_cell_length_c 10.8709
_cell_angle_alpha 80.65
_cell_angle_beta 80.65
_cell_angle_gamma 60.00
loop_
_atom_site_label
_atom_site_fract_x
_atom_site_fract_y
_atom_site_fract_z
_atom_site_occupancy
Cd1 0.0000 0.0000 0.0000 1
Tm1 0.7444 0.7444 0.7669 1
Tm2 0.2556 0.2556 0.2331 1
Tb1 0.5000 0.5000 0.5000 1
```

***

4.
Ce2GeO2 | PBE-GGA | relaxed

Calculated values
**Total moment**: 0.6 μB per cell
**Raw total energy**: -7.303 eV/atom
**Formation energy (no corrections)**: -2.023 eV per atom

CIF file:
```
data_Ce2GeO2
_space_group_name_H-M_alt 'P 1'
_space_group_IT_number 1
_space_group_name_Hall 'P 1'
_cell_length_a 3.7016
_cell_length_b 3.7016
_cell_length_c 6.8235
_cell_angle_alpha 90.00
_cell_angle_beta 90.00
_cell_angle_gamma 90.00
loop_
_atom_site_label
_atom_site_fract_x
_atom_site_fract_y
_atom_site_fract_z
_atom_site_occupancy
Ge1 0.0000 0.0000 0.0000 1
O1 0.0000 0.5000 0.5000 1
O2 0.5000 0.0000 0.5000 1
Ce1 0.5000 0.5000 0.2847 1
Ce2 0.5000 0.5000 0.7153 1
```

***

5.
TbCe2Er3S6 | PBE-GGA | relaxed

Calculated values
**Total moment**: 1.8 μB per cell
**Raw total energy**: -6.583 eV/atom
**Formation energy (no corrections)**: -2.003 eV per atom

CIF file:
```
data_TbCe2Er3S6
_space_group_name_H-M_alt 'P 1'
_space_group_IT_number 1
_space_group_name_Hall 'P 1'
_cell_length_a 3.9041
_cell_length_b 7.9137
_cell_length_c 8.8075
_cell_angle_alpha 103.70
_cell_angle_beta 102.81
_cell_angle_gamma 90.00
loop_
_atom_site_label
_atom_site_fract_x
_atom_site_fract_y
_atom_site_fract_z
_atom_site_occupancy
S1 0.3325 0.9265 0.6651 1
S2 0.6626 0.5920 0.3253 1
S3 0.9967 0.2520 0.9934 1
S4 0.6675 0.0735 0.3349 1
S5 0.0033 0.7480 0.0066 1
Er1 0.5000 0.5000 0.0000 1
Er2 0.8327 0.1678 0.6655 1
Ce1 0.8325 0.6645 0.6650 1
Tb1 0.5000 0.0000 0.0000 1
Er3 0.1673 0.8322 0.3345 1
S6 0.3374 0.4080 0.6747 1
Ce2 0.1675 0.3355 0.3350 1
```

***

6.
SrIr2 | PBE-GGA | relaxed

Calculated values
**Total moment**: 0.0 μB per cell
**Formation enthalpy at 0 K**: 0.86 eV per formula unit
**Raw total energy**: -6.183 eV/atom

CIF file:
```
data_SrIr2
_space_group_name_H-M_alt 'P 1'
_space_group_IT_number 1
_space_group_name_Hall 'P 1'
_cell_length_a 4.7228
_cell_length_b 4.7228
_cell_length_c 10.5195
_cell_angle_alpha 72.39
_cell_angle_beta 72.39
_cell_angle_gamma 36.75
loop_
_atom_site_label
_atom_site_fract_x
_atom_site_fract_y
_atom_site_fract_z
_atom_site_occupancy
Ir1 0.0243 0.0243 0.1649 1
Ir2 0.3415 0.3415 0.0520 1
Sr1 0.3171 0.3171 0.6612 1
Ir3 0.9757 0.9757 0.8351 1
Ir4 0.6585 0.6585 0.9480 1
Sr2 0.6829 0.6829 0.3388 1
```

***

7.
La2MgI8 | PBE-GGA | relaxed

Calculated values
**Total moment**: 0.0 μB per cell
**Raw total energy**: -3.501 eV/atom
**Formation energy (no corrections)**: -1.333 eV per atom

CIF file:
```
data_La2MgI8
_space_group_name_H-M_alt 'P 1'
_space_group_IT_number 1
_space_group_name_Hall 'P 1'
_cell_length_a 9.3629
_cell_length_b 9.3629
_cell_length_c 13.3793
_cell_angle_alpha 70.75
_cell_angle_beta 70.75
_cell_angle_gamma 62.42
loop_
_atom_site_label
_atom_site_fract_x
_atom_site_fract_y
_atom_site_fract_z
_atom_site_occupancy
I1 0.3404 0.9178 0.6420 1
I2 0.0822 0.6596 0.8580 1
La1 0.0048 0.5462 0.6882 1
I3 0.0540 0.1826 0.8692 1
Mg1 0.0020 0.9980 0.7500 1
La2 0.9952 0.4538 0.3118 1
I4 0.8174 0.9460 0.6308 1
I5 0.1826 0.0540 0.3692 1
I6 0.1063 0.6542 0.4113 1
I7 0.6596 0.0822 0.3580 1
Mg2 0.9980 0.0020 0.2500 1
I8 0.6524 0.6069 0.8541 1
I9 0.9460 0.8174 0.1308 1
I10 0.6542 0.1063 0.9113 1
La3 0.5462 0.0048 0.1882 1
I11 0.8937 0.3458 0.5887 1
I12 0.3458 0.8937 0.0887 1
I13 0.3476 0.3931 0.1459 1
La4 0.4538 0.9952 0.8118 1
I14 0.3931 0.3476 0.6459 1
I15 0.9178 0.3404 0.1420 1
I16 0.6069 0.6524 0.3541 1
```

***

8.
Tb5Dy12Ge3 | PBE-GGA | relaxed

Calculated values
**Total moment**: 0.0 μB per cell
**Formation enthalpy at 0 K**: 13.77 eV per formula unit
**Raw total energy**: -3.923 eV/atom

CIF file:
```
data_Tb5Dy12Ge3
_space_group_name_H-M_alt 'P 1'
_space_group_IT_number 1
_space_group_name_Hall 'P 1'
_cell_length_a 15.5101
_cell_length_b 15.5101
_cell_length_c 15.5101
_cell_angle_alpha 109.47
_cell_angle_beta 109.47
_cell_angle_gamma 109.47
loop_
_atom_site_label
_atom_site_fract_x
_atom_site_fract_y
_atom_site_fract_z
_atom_site_occupancy
Tb1 0.5000 0.5000 0.0000 1
Tb2 0.0000 0.5000 0.0000 1
Ge1 0.7500 0.3750 0.1250 1
Ge2 0.3750 0.7500 0.6250 1
Dy1 0.1026 0.1564 0.2386 1
Tb3 0.0000 0.5000 0.5000 1
Ge3 0.8750 0.1250 0.2500 1
Tb4 0.3750 0.1250 0.7500 1
Ge4 0.2500 0.6250 0.8750 1
Dy2 0.4462 0.3640 0.6026 1
Dy3 0.8640 0.6026 0.9462 1
Tb5 0.6250 0.7500 0.8750 1
Dy4 0.5822 0.3436 0.9462 1
Dy5 0.6026 0.7386 0.6564 1
Tb6 0.0000 0.0000 0.0000 1
Tb7 0.3750 0.2500 0.1250 1
Dy6 0.3640 0.4462 0.1026 1
Dy7 0.4178 0.6564 0.0538 1
Dy8 0.3974 0.1360 0.5538 1
Ge5 0.7500 0.8750 0.6250 1
Ge6 0.2500 0.1250 0.3750 1
Dy9 0.3640 0.9178 0.7614 1
Tb8 0.7500 0.1250 0.8750 1
Dy10 0.2614 0.8640 0.9178 1
Dy11 0.0822 0.4462 0.8436 1
Dy12 0.1360 0.3974 0.0538 1
Dy13 0.0822 0.6360 0.7386 1
Dy14 0.6360 0.5538 0.8974 1
Ge7 0.6250 0.2500 0.3750 1
Dy15 0.8974 0.0538 0.6360 1
Dy16 0.1360 0.7386 0.5822 1
Dy17 0.7614 0.4178 0.3640 1
Tb9 0.0000 0.0000 0.5000 1
Ge8 0.1250 0.8750 0.7500 1
Dy18 0.9178 0.5538 0.1564 1
Dy19 0.8436 0.8974 0.2614 1
Dy20 0.6564 0.2386 0.6026 1
Tb10 0.8750 0.6250 0.7500 1
Tb11 0.7500 0.6250 0.3750 1
Ge9 0.1250 0.2500 0.8750 1
Dy21 0.8436 0.9462 0.0822 1
Tb12 0.2500 0.8750 0.1250 1
Tb13 0.5000 0.0000 0.5000 1
Tb14 0.5000 0.0000 0.0000 1
Tb15 0.2500 0.3750 0.6250 1
Dy22 0.7614 0.3436 0.8974 1
Dy23 0.4178 0.7614 0.8640 1
Tb16 0.1250 0.7500 0.3750 1
Dy24 0.1564 0.0538 0.9178 1
Dy25 0.9178 0.3640 0.2614 1
Tb17 0.6250 0.8750 0.2500 1
Tb18 0.8750 0.2500 0.6250 1
Dy26 0.1564 0.1026 0.7386 1
Tb19 0.5000 0.5000 0.5000 1
Dy27 0.7386 0.1360 0.0822 1
Dy28 0.0538 0.1564 0.4178 1
Dy29 0.3436 0.7614 0.3974 1
Dy30 0.2386 0.5822 0.6360 1
Dy31 0.3436 0.5822 0.4462 1
Ge10 0.8750 0.7500 0.1250 1
Dy32 0.3974 0.2614 0.3436 1
Dy33 0.2386 0.6564 0.1026 1
Ge11 0.6250 0.3750 0.7500 1
Dy34 0.6564 0.4178 0.5538 1
Dy35 0.8974 0.8436 0.7614 1
Ge12 0.3750 0.6250 0.2500 1
Dy36 0.6026 0.8640 0.4462 1
Dy37 0.0538 0.8974 0.1360 1
Dy38 0.7386 0.6026 0.1564 1
Dy39 0.1026 0.9462 0.3640 1
Dy40 0.9462 0.8436 0.5822 1
Dy41 0.8640 0.2614 0.4178 1
Dy42 0.5822 0.2386 0.1360 1
Dy43 0.9462 0.1026 0.8640 1
Dy44 0.4462 0.0822 0.3436 1
Tb20 0.1250 0.3750 0.2500 1
Dy45 0.5538 0.6360 0.3974 1
Dy46 0.5538 0.9178 0.6564 1
Dy47 0.6360 0.0822 0.2386 1
Dy48 0.2614 0.3974 0.8436 1
```

***

9.
CsK2ThCl8 | PBE-GGA | relaxed

Calculated values
**Total moment**: 0.0 μB per cell
**Raw total energy**: -3.986 eV/atom
**Formation energy (no corrections)**: -1.882 eV per atom

CIF file:
```
data_CsK2ThCl8
_space_group_name_H-M_alt 'P 1'
_space_group_IT_number 1
_space_group_name_Hall 'P 1'
_cell_length_a 7.5555
_cell_length_b 5.8655
_cell_length_c 10.2180
_cell_angle_alpha 89.66
_cell_angle_beta 90.02
_cell_angle_gamma 90.35
loop_
_atom_site_label
_atom_site_fract_x
_atom_site_fract_y
_atom_site_fract_z
_atom_site_occupancy
Cl1 0.8599 0.2435 0.1974 1
Cl2 0.8634 0.2472 0.8009 1
K1 0.4998 0.4976 0.7729 1
Cl3 0.3061 0.2383 0.0016 1
Th1 0.0000 0.0000 0.0000 1
Cs1 0.0000 0.0000 0.5000 1
Cl4 0.5059 0.7587 0.4999 1
K2 0.5002 0.5024 0.2271 1
Cl5 0.1366 0.7528 0.1991 1
Cl6 0.4941 0.2413 0.5001 1
Cl7 0.6939 0.7617 0.9984 1
Cl8 0.1401 0.7565 0.8026 1
```

***

10.
Eu2HIr | PBE-GGA | relaxed

Calculated values
**Total moment**: 14.1 μB per cell
**Raw total energy**: -8.469 eV/atom
**Energy above the most stable polymorph in this dataset**: 0.00 eV per formula unit

CIF file:
```
data_Eu2HIr
_space_group_name_H-M_alt 'P 1'
_space_group_IT_number 1
_space_group_name_Hall 'P 1'
_cell_length_a 3.3265
_cell_length_b 3.3265
_cell_length_c 7.1923
_cell_angle_alpha 90.00
_cell_angle_beta 90.00
_cell_angle_gamma 90.00
loop_
_atom_site_label
_atom_site_fract_x
_atom_site_fract_y
_atom_site_fract_z
_atom_site_occupancy
Ir1 0.5000 0.5000 0.0000 1
Eu1 0.0000 0.0000 0.7422 1
Eu2 0.0000 0.0000 0.2578 1
H1 0.5000 0.5000 0.5000 1
```

***

Question: Which value of total moment does entry 7 give?
Answer: 0.0 μB per cell